Material: LaInPdI2
Method: DFT, PBE-GGA
State: optimized geometry

Structure (POSCAR):
```
LaInPdI2
1.0
5.448 0.000 0.000
0.000 5.362 0.000
0.000 0.000 5.448
I In La Pd
2 1 1 1
Direct
0.000 0.000 0.500
0.500 0.000 0.000
0.000 0.500 0.000
0.500 0.500 0.500
0.000 0.000 0.000
```

## Properties
SG: No. 123
Calculated density: 6.41 Mg/m³
Formation energy (no corrections): -26 kJ per mole of atoms